*a*
Below is a geometry-optimized Nb2GaCl structure, with properties calculated at the GGA-PBE level.

abc: 3.992 3.992 19.043
angles: 90.00 90.00 90.00
Space group I-42d (No. 122)
Unique sites:
Nb 0.250 0.250 0.125 x8
Ga 0.000 0.000 0.000 x4
Cl 0.000 0.000 0.500 x4

**M_tot**: 0.000 μB/atom

***

*b*
Below is a geometry-optimized Nb2GaCl structure, with properties calculated at the GGA-PBE level.

abc: 6.449 6.449 6.449
angles: 90.00 90.00 90.00
Space group Fm-3m (No. 225)
Unique sites:
Nb 0.250 0.250 0.250 x8
Ga 0.000 0.000 0.000 x4
Cl 0.000 0.000 0.500 x4

**M_tot**: 0.000 μB/atom

***

Most stable of them? *b*.

***

*a*
Below is a geometry-optimized NbGaCl3 structure, with properties calculated at the GGA-PBE level.

abc: 5.019 5.019 5.019
angles: 90.00 90.00 90.00
Space group Pm-3m (No. 221)
Unique sites:
Nb 0.000 0.000 0.000 x1
Ga 0.500 0.500 0.500 x1
Cl 0.000 0.500 0.500 x3

**M_tot**: 0.765 μB/atom

***

*b*
Below is a geometry-optimized NbGaCl3 structure, with properties calculated at the GGA-PBE level.

abc: 5.121 5.121 5.121
angles: 90.00 90.00 90.00
Space group Pm-3m (No. 221)
Unique sites:
Nb 0.000 0.000 0.000 x1
Ga 0.500 0.500 0.500 x1
Cl 0.000 0.000 0.500 x3

**M_tot**: 0.600 μB/atom

***

Most stable of them? *b*.

***

*a*
Below is a geometry-optimized Nb2GaCl2 structure, with properties calculated at the GGA-PBE level.

abc: 3.931 3.931 12.258
angles: 90.00 90.00 90.00
Space group I4/mmm (No. 139)
Unique sites:
Nb 0.000 0.000 0.107 x4
Ga 0.000 0.000 0.500 x2
Cl 0.000 0.500 0.250 x4

**M_tot**: 0.000 μB/atom

***

*b*
Below is a geometry-optimized Nb2GaCl2 structure, with properties calculated at the GGA-PBE level.

abc: 7.674 7.674 2.968
angles: 90.00 90.00 90.00
Space group P4/mbm (No. 127)
Unique sites:
Nb 0.179 0.321 0.000 x4
Ga 0.000 0.000 0.000 x2
Cl 0.130 0.630 0.500 x4

**M_tot**: 0.000 μB/atom

***

Most stable of them? *a*.

***

*a*
Below is a geometry-optimized Nd2GaCl structure, with properties calculated at the GGA-PBE level.

abc: 3.7952 3.7952 25.5217
angles: 90.00 90.00 120.00
Space group R3m (No. 160, hexagonal axes)
Unique sites:
Nd 0.0000 0.0000 0.0000 x3
Nd 0.0000 0.0000 0.1714 x3
Ga 0.0000 0.0000 0.5857 x3
Cl 0.0000 0.0000 0.4178 x3

**M_tot**: 0.000 μB/atom

***

*b*
Below is a geometry-optimized Nd2GaCl structure, with properties calculated at the GGA-PBE level.

abc: 4.2610 4.2610 20.6480
angles: 90.00 90.00 120.00
Space group R-3m (No. 166, hexagonal axes)
Unique sites:
Nd 0.0000 0.0000 0.2476 x6
Ga 0.0000 0.0000 0.5000 x3
Cl 0.0000 0.0000 0.0000 x3

**M_tot**: 0.000 μB/atom

***

Most stable of them? *b*.